1.
Crystalline FeAgC2 at its relaxed geometry. Source: Alexandria via LeMat-Bulk, functional PBE.

The calculation puts the calculated total energy at -100.415 eV per cell. The value obtained for the calculated formation energy is 1.164 eV per atom. The calculation puts the energy above the lowest structure with this stoichiometry at 0.0000 eV/atom. The crystal system is tetragonal.

The space group is I-42d (No. 122) and the conventional cell measures 4.6863, 4.6863 and 8.9878 Å, with angles of 90.00, 90.00 and 90.00 degrees. The inequivalent atoms are Fe at (0.0000, 0.0000, 0.0000), Ag at (0.0000, 0.0000, 0.5000) and C at (0.1645, 0.2500, 0.1250).

=====

2.
Crystalline RuCN at its relaxed geometry. Source: Alexandria via LeMat-Bulk, functional PBE.

The calculation puts the calculated total energy at -25.349 eV per cell. As for the energy relative to the elements, uncorrected: 0.492 eV per atom. The calculation puts the energy above the lowest structure with this stoichiometry at 0.0541 eV/atom. The crystal system is orthorhombic.

The space group is Pmm2 (No. 25) and the conventional cell measures 2.7115, 2.8419 and 4.3079 Å, with angles of 90.00, 90.00 and 90.00 degrees. The inequivalent atoms are Ru at (0.0000, 0.0000, 0.0000), C at (0.5000, 0.0000, 0.6424) and N at (0.5000, 0.0000, 0.3563).

=====

3.
Crystalline HfSb3N at its relaxed geometry. Source: Alexandria via LeMat-Bulk, functional PBE.

The calculation puts the calculated total energy at -28.785 eV per cell. As for the energy relative to the elements, uncorrected: 0.372 eV per atom. The calculation puts the energy above the lowest structure with this stoichiometry at 0.0000 eV/atom. The crystal system is cubic.

The space group is Pm-3m (No. 221) and the conventional cell measures 4.6913, 4.6913 and 4.6913 Å, with angles of 90.00, 90.00 and 90.00 degrees. The inequivalent atoms are Hf at (0.0000, 0.0000, 0.0000), Sb at (0.0000, 0.5000, 0.5000) and N at (0.5000, 0.5000, 0.5000).

=====

4.
Crystalline PmGdGaHg at its relaxed geometry. Source: Alexandria via LeMat-Bulk, functional PBE.

The calculation puts the calculated total energy at -97.052 eV per cell. The value obtained for the calculated formation energy is -0.526 eV per atom. The crystal system is cubic.

The space group is F-43m (No. 216) and the conventional cell measures 7.4438, 7.4438 and 7.4438 Å, with angles of 90.00, 90.00 and 90.00 degrees. The inequivalent atoms are Pm at (0.0000, 0.0000, 0.0000), Gd at (0.0000, 0.0000, 0.5000), Ga at (0.2500, 0.2500, 0.2500) and Hg at (0.2500, 0.2500, 0.7500).

=====

5.
Crystalline Sc2AlCd3 at its relaxed geometry. Source: Alexandria via LeMat-Bulk, functional PBE.

The calculation puts the calculated total energy at -166.072 eV per cell. The value obtained for the calculated formation energy is -0.268 eV per atom. The crystal system is orthorhombic.

The space group is Fmmm (No. 69) and the conventional cell measures 6.4727, 9.5281 and 16.4565 Å, with angles of 90.00, 90.00 and 90.00 degrees. The inequivalent atoms are Sc at (0.2494, 0.0000, 0.0000), Sc at (0.2500, 0.2500, 0.2500), Al at (0.0000, 0.0000, 0.1668), Cd at (0.0000, 0.0000, 0.3305) and Cd at (0.0000, 0.2452, 0.0848).

=====

6.
Crystalline KFeCo at its relaxed geometry. Source: Alexandria via LeMat-Bulk, functional PBE.

The calculation puts the calculated total energy at -24.889 eV per cell. The value obtained for the calculated formation energy is 1.407 eV per atom. The calculation puts the energy above the lowest structure with this stoichiometry at 0.9894 eV/atom. The crystal system is hexagonal.

The space group is P-6m2 (No. 187) and the conventional cell measures 4.4300, 4.4300 and 7.5383 Å, with angles of 90.00, 90.00 and 120.00 degrees. The inequivalent atoms are K at (0.0000, 0.0000, 0.0000), K at (0.0000, 0.0000, 0.5000), Fe at (0.6667, 0.3333, 0.1377) and Co at (0.3333, 0.6667, 0.1467).

=====

7.
Crystalline TeAuNF2 at its relaxed geometry. Source: Alexandria via LeMat-Bulk, functional PBE.

The calculation puts the calculated total energy at -18.375 eV per cell. As for the energy relative to the elements, uncorrected: 0.022 eV per atom. The calculation puts the energy above the lowest structure with this stoichiometry at 0.0000 eV/atom. The crystal system is tetragonal.

The space group is P4/mmm (No. 123) and the conventional cell measures 4.4402, 4.4402 and 4.1867 Å, with angles of 90.00, 90.00 and 90.00 degrees. The inequivalent atoms are Te at (0.0000, 0.0000, 0.0000), Au at (0.5000, 0.5000, 0.5000), N at (0.0000, 0.0000, 0.5000) and F at (0.0000, 0.5000, 0.0000).

=====

8.
Crystalline TaIrPt at its relaxed geometry. Source: Alexandria via LeMat-Bulk, functional PBE.

The calculation puts the calculated total energy at -57.065 eV per cell. The value obtained for the calculated formation energy is -0.593 eV per atom. The calculation puts the energy above the lowest structure with this stoichiometry at 0.0000 eV/atom. The crystal system is orthorhombic.

The space group is Imm2 (No. 44) and the conventional cell measures 2.8595, 3.8710 and 8.6363 Å, with angles of 90.00, 90.00 and 90.00 degrees. The inequivalent atoms are Ta at (0.0000, 0.0000, 0.0000), Ir at (0.0000, 0.0000, 0.6563) and Pt at (0.0000, 0.0000, 0.3291).

=====

9.
Crystalline NaYTl2Cl6 at its relaxed geometry. Source: Alexandria via LeMat-Bulk, functional PBE.

The calculation puts the calculated total energy at -81.479 eV per cell. As for the energy relative to the elements, uncorrected: -1.714 eV per atom. The crystal system is monoclinic.

The space group is P2_1/c (No. 14) and the conventional cell measures 7.3748, 7.6958 and 12.8572 Å, with angles of 90.00, 124.57 and 90.00 degrees. The inequivalent atoms are Na at (0.0000, 0.0000, 0.0000), Y at (0.5000, 0.0000, 0.5000), Tl at (0.2297, 0.0655, 0.7484), Cl at (0.1646, 0.1927, 0.4562), Cl at (0.2639, 0.7136, 0.4539) and Cl at (0.3479, 0.0226, 0.2574).

=====

10.
Crystalline NaCr at its relaxed geometry. Source: Alexandria via LeMat-Bulk, functional PBE.

The calculation puts the calculated total energy at -74.341 eV per cell. The value obtained for the calculated formation energy is 0.825 eV per atom. The calculation puts the energy above the lowest structure with this stoichiometry at 0.0378 eV/atom. The crystal system is tetragonal.

The space group is P4/mmm (No. 123) and the conventional cell measures 12.3644, 12.3644 and 3.0049 Å, with angles of 90.00, 90.00 and 90.00 degrees. The inequivalent atoms are Na at (0.0000, 0.3565, 0.0000), Na at (0.2695, 0.2695, 0.5000), Cr at (0.1895, 0.5000, 0.5000) and Cr at (0.3349, 0.5000, 0.0000).

=====

11.
Crystalline Pu2ReC at its relaxed geometry. Source: Alexandria via LeMat-Bulk, functional PBE.

The calculation puts the calculated total energy at -143.563 eV per cell. The value obtained for the calculated formation energy is 0.620 eV per atom. The crystal system is trigonal.

The space group is R-3m (No. 166, hexagonal axes) and the conventional cell measures 3.1677, 3.1677 and 24.5480 Å, with angles of 90.00, 90.00 and 120.00 degrees. The inequivalent atoms are Pu at (0.0000, 0.0000, 0.1045), Re at (0.0000, 0.0000, 0.0000) and C at (0.0000, 0.0000, 0.5000).

=====

12.
Crystalline AcErCd2Au4 at its relaxed geometry. Source: Alexandria via LeMat-Bulk, functional PBE.

The calculation puts the calculated total energy at -86.280 eV per cell. The value obtained for the calculated formation energy is -0.644 eV per atom. The crystal system is trigonal.

The space group is R-3m (No. 166, hexagonal axes) and the conventional cell measures 4.9304, 4.9304 and 26.5586 Å, with angles of 90.00, 90.00 and 120.00 degrees. The inequivalent atoms are Ac at (0.0000, 0.0000, 0.0000), Er at (0.0000, 0.0000, 0.5000), Cd at (0.0000, 0.0000, 0.2432), Au at (0.0000, 0.0000, 0.1279) and Au at (0.0000, 0.0000, 0.3906).

=====

| no. | spin magnetization (μB/f.u.) |
| --- | --- |
| 1 | 0.00 |
| 2 | 0.00 |
| 3 | 0.00 |
| 4 | 8.02 |
| 5 | 0.46 |
| 6 | 0.00 |
| 7 | 0.00 |
| 8 | 0.00 |
| 9 | 0.00 |
| 10 | 0.04 |
| 11 | 8.36 |
| 12 | 0.00 |